Record 1
VASP calculation (PBE-GGA) on crystalline YBeCuRu2 at its relaxed geometry.

Unit cell a=4.838 b=4.838 c=4.762 alpha=90.00 beta=90.00 gamma=90.00
Space group P4/mmm (No. 123)
One atom of each set of equivalent atoms:
Y (0.000, 0.000, 0.000) x1
Be (0.000, 0.000, 0.500) x1
Cu (0.500, 0.500, 0.500) x1
Ru (0.000, 0.500, 0.000) x2

Results
D(E_F)   0.90 states/eV per atom
Energy of formation from the pure elements   2076 meV/atom
DFT total energy   -22.46 eV per cell

Record 2
VASP calculation (PBE-GGA) on crystalline Dy6TlTc2 at its relaxed geometry.

Unit cell a=9.578 b=9.621 c=10.379 alpha=90.00 beta=90.00 gamma=90.00
Space group Immm (No. 71)
One atom of each set of equivalent atoms:
Dy (0.000, 0.215, 0.235) x8
Dy (0.205, 0.500, 0.182) x8
Dy (0.216, 0.310, 0.500) x8
Tl (0.000, 0.000, 0.000) x2
Tl (0.000, 0.000, 0.500) x2
Tc (0.000, 0.370, 0.000) x4
Tc (0.000, 0.500, 0.384) x4

Results
D(E_F)   1.02 states/eV per atom
Energy of formation from the pure elements   -158 meV/atom
DFT total energy   -208.54 eV per cell

Record 3
VASP calculation (PBE-GGA) on crystalline Ta2NbRe at its relaxed geometry.

Unit cell a=7.373 b=7.373 c=5.557 alpha=90.00 beta=90.00 gamma=90.00
Space group I-42d (No. 122)
One atom of each set of equivalent atoms:
Ta (0.227, 0.250, 0.125) x8
Nb (0.000, 0.000, 0.500) x4
Re (0.000, 0.000, 0.000) x4

Results
D(E_F)   0.73 states/eV per atom
Energy of formation from the pure elements   590 meV/atom
DFT total energy   -175.46 eV per cell

The highest energy of formation from the pure elements belongs to which entry? YBeCuRu2

What is the energy of formation from the pure elements in the third record? 590 meV/atom

Please write out number 3 again, unchanged.
VASP calculation (PBE-GGA) on crystalline Ta2NbRe at its relaxed geometry.

Unit cell a=7.373 b=7.373 c=5.557 alpha=90.00 beta=90.00 gamma=90.00
Space group I-42d (No. 122)
One atom of each set of equivalent atoms:
Ta (0.227, 0.250, 0.125) x8
Nb (0.000, 0.000, 0.500) x4
Re (0.000, 0.000, 0.000) x4

Results
D(E_F)   0.73 states/eV per atom
Energy of formation from the pure elements   590 meV/atom
DFT total energy   -175.46 eV per cell